a) 4
Lattice="5.334 0.001 0.005 2.517 4.703 -0.005 -3.251 -3.479 2.406" Properties=species:S:1:pos:R:3 comment="Zn2IrW | Alexandria | PBE | relaxed" total_magnetization_mub_per_cell=0.00 spacegroup="No. 71" pbc="T T T"
W 1.596 1.788 1.201
Zn 7.790 4.667 0.000
Ir 3.005 -0.563 1.205
Zn 3.987 2.389 0.000



b) 4
Lattice="-1.068 1.384 -2.286 -2.434 0.512 1.448 2.726 6.108 2.425" Properties=species:S:1:pos:R:3 comment="Zn2IrW | Alexandria | PBE | relaxed" total_magnetization_mub_per_cell=0.00 spacegroup="No. 99" pbc="T T T"
Zn 0.019 0.042 0.017
W 0.276 5.490 1.384
Ir 1.358 3.043 1.208
Zn -1.066 2.484 0.191



c) 4
Lattice="4.750 0.001 0.002 3.924 2.677 0.002 0.902 0.279 4.672" Properties=species:S:1:pos:R:3 comment="Zn2IrW | Alexandria | PBE | relaxed" total_magnetization_mub_per_cell=0.00 spacegroup="No. 12" pbc="T T T"
W 7.182 2.218 3.506
Zn 8.645 2.669 0.028
Zn 4.817 1.487 2.313
Ir 2.394 0.739 1.169



In order of decreasing stability: b), c), a).



a) 10
Lattice="7.118 0.000 0.000 0.000 7.118 0.000 0.000 0.000 2.963" Properties=species:S:1:pos:R:3 comment="Zn2Ir2W | Alexandria | PBE | relaxed" total_magnetization_mub_per_cell=0.00 spacegroup="No. 127" pbc="T T T"
Zn 5.974 2.415 1.482
Zn 2.415 1.144 1.482
Ir 6.134 4.543 0.000
W 3.559 3.559 0.000
Ir 2.575 6.134 0.000
W 0.000 0.000 0.000
Ir 0.984 2.575 0.000
Zn 1.144 4.703 1.482
Ir 4.543 0.984 0.000
Zn 4.703 5.974 1.482



b) 5
Lattice="-2.529 -0.336 2.206 2.088 -1.532 2.160 1.373 5.112 4.931" Properties=species:S:1:pos:R:3 comment="Zn2Ir2W | Alexandria | PBE | relaxed" total_magnetization_mub_per_cell=0.00 spacegroup="No. 139" pbc="T T T"
W 0.000 0.000 0.000
Zn 1.620 1.323 4.637
Ir 0.091 0.247 2.720
Zn -0.688 1.921 4.660
Ir 0.841 2.997 6.577



In order of decreasing stability: b), a).



a) 5
Lattice="4.468 0.000 0.000 0.000 4.468 0.000 0.000 0.000 4.468" Properties=species:S:1:pos:R:3 comment="ZnIrW3 | Alexandria | PBE | relaxed" total_magnetization_mub_per_cell=0.00 spacegroup="No. 221" pbc="T T T"
W 2.234 0.000 0.000
W 0.000 0.000 2.234
Ir 2.234 2.234 2.234
Zn 0.000 0.000 0.000
W 0.000 2.234 0.000



b) 5
Lattice="4.761 0.000 0.000 0.000 4.761 0.000 0.000 0.000 4.761" Properties=species:S:1:pos:R:3 comment="ZnIrW3 | Alexandria | PBE | relaxed" total_magnetization_mub_per_cell=0.00 spacegroup="No. 221" pbc="T T T"
Zn 2.380 2.380 2.380
Ir 0.000 0.000 0.000
W 0.000 2.380 0.000
W 2.380 0.000 0.000
W 0.000 0.000 2.380



In order of decreasing stability: a), b).



a) 5
Lattice="-3.933 -0.550 -1.968 1.142 -4.131 -1.128 -1.695 -1.509 3.808" Properties=species:S:1:pos:R:3 comment="ZnIr3W | Alexandria | PBE | relaxed" total_magnetization_mub_per_cell=1.04 spacegroup="No. 221" pbc="T T T"
Ir -1.967 -0.275 -0.984
W -2.243 -3.095 0.355
Ir -0.847 -0.754 1.904
Ir 0.571 -2.066 -0.564
Zn 0.000 0.000 0.000



b) 5
Lattice="-4.210 1.915 -1.106 -1.960 -4.333 -0.043 -1.025 0.417 4.625" Properties=species:S:1:pos:R:3 comment="ZnIr3W | Alexandria | PBE | relaxed" total_magnetization_mub_per_cell=0.00 spacegroup="No. 221" pbc="T T T"
Zn -3.597 -1.000 1.738
Ir -0.512 0.209 2.313
Ir -0.980 -2.166 -0.022
Ir -2.105 0.958 -0.553
W 0.000 0.000 0.000



In order of decreasing stability: b), a).



a) 4
Lattice="-2.644 0.817 -1.917 0.301 -2.915 -1.658 -3.693 -2.639 3.969" Properties=species:S:1:pos:R:3 comment="ZrIr2W | Alexandria | PBE | relaxed" total_magnetization_mub_per_cell=0.00 spacegroup="No. 99" pbc="T T T"
Ir -2.186 -1.773 -0.697
Zr -4.016 -3.081 1.270
W -1.692 -1.209 1.819
Ir -3.682 -2.631 3.957



b) 4
Lattice="4.993 0.003 0.001 4.161 2.761 0.001 0.775 0.234 4.827" Properties=species:S:1:pos:R:3 comment="ZrIr2W | Alexandria | PBE | relaxed" total_magnetization_mub_per_cell=0.00 spacegroup="No. 8" pbc="T T T"
Ir 0.116 0.035 0.104
Zr 2.540 0.767 1.044
W 4.859 1.467 2.655
Ir 7.378 2.227 3.442



c) 4
Lattice="0.000 3.230 3.230 3.230 0.000 3.230 3.230 3.230 0.000" Properties=species:S:1:pos:R:3 comment="ZrIr2W | Alexandria | PBE | relaxed" total_magnetization_mub_per_cell=0.00 spacegroup="No. 225" pbc="T T T"
Zr 0.000 0.000 0.000
Ir 1.615 1.615 1.615
W 3.230 3.230 3.230
Ir 4.846 4.846 4.846



In order of decreasing stability: b), a), c).



a) 7
Lattice="0.343 4.365 3.390 -3.046 -4.394 1.442 4.548 -2.323 2.530" Properties=species:S:1:pos:R:3 comment="Y4Ir3 | Alexandria | PBE | relaxed" total_magnetization_mub_per_cell=0.00 spacegroup="No. 191" pbc="T T T"
Y 3.481 -1.778 1.937
Ir -1.352 -0.014 2.416
Y 1.067 -0.545 0.594
Ir 0.171 2.182 1.695
Y 1.487 0.284 4.006
Ir -1.523 -2.197 0.721
Y 0.358 -2.636 3.357



b) 7
Lattice="-1.942 1.942 11.279 1.942 -1.942 11.279 1.942 1.942 -11.279" Properties=species:S:1:pos:R:3 comment="Y4Ir3 | Alexandria | PBE | relaxed" total_magnetization_mub_per_cell=0.00 spacegroup="No. 139" pbc="T T T"
Y 0.000 0.000 18.434
Ir 0.000 0.000 7.046
Y 0.000 0.000 12.804
Ir 0.000 0.000 0.000
Y 0.000 0.000 4.124
Y 0.000 0.000 9.755
Ir 0.000 0.000 15.513



In order of decreasing stability: b), a).